The following is a DFT calculation (PBE) of crystalline Cu3NiGe at its relaxed geometry.

abc: 4.387 4.387 4.387
angles: 90.00 90.00 90.00
Atoms (fractional coordinates):
Cu: 0.000 0.000 0.500
Cu: 0.000 0.500 0.000
Cu: 0.500 0.000 0.000
Ni: 0.000 0.000 0.000
Ge: 0.500 0.500 0.500

Formation enthalpy at 0 K in eV/f.u.: 4.09
VASP energy in Ry per atom: -0.2734
Polymorph energy (0 for the lowest one) in meV per atom: 0

=====

The following is a DFT calculation (PBE) of crystalline LiLaW2 at its relaxed geometry.

abc: 9.136 2.781 6.297
angles: 90.00 92.66 90.00
Atoms (fractional coordinates):
Li: 0.000 0.000 0.000
Li: 0.500 0.500 0.000
La: 0.256 0.500 0.302
La: 0.756 0.000 0.302
W: 0.008 0.500 0.609
W: 0.260 0.000 0.788
W: 0.508 0.000 0.609
W: 0.760 0.500 0.788

Formation enthalpy at 0 K in eV/f.u.: 2.58
VASP energy in Ry per atom: -0.5543
Polymorph energy (0 for the lowest one) in meV per atom: 195

=====

The following is a DFT calculation (PBE) of crystalline UTlP2Se8 at its relaxed geometry.

abc: 10.170 10.170 10.170
angles: 37.23 37.23 37.23
Atoms (fractional coordinates):
U: 0.000 0.000 0.000
Tl: 0.500 0.500 0.500
P: 0.250 0.250 0.250
P: 0.750 0.750 0.750
Se: 0.066 0.700 0.402
Se: 0.175 0.175 0.175
Se: 0.300 0.598 0.934
Se: 0.402 0.066 0.700
Se: 0.598 0.934 0.300
Se: 0.700 0.402 0.066
Se: 0.825 0.825 0.825
Se: 0.934 0.300 0.598

VASP energy in Ry per atom: -0.3415
Formation energy (no corrections) in eV per atom: -0.28

=====

The following is a DFT calculation (PBE) of crystalline Hf5BeZn4 at its relaxed geometry.

abc: 3.250 3.250 16.530
angles: 90.00 90.00 90.00
Atoms (fractional coordinates):
Hf: 0.000 0.000 0.000
Hf: 0.000 0.000 0.204
Hf: 0.000 0.000 0.408
Hf: 0.000 0.000 0.592
Hf: 0.000 0.000 0.796
Be: 0.500 0.500 0.500
Zn: 0.500 0.500 0.102
Zn: 0.500 0.500 0.306
Zn: 0.500 0.500 0.694
Zn: 0.500 0.500 0.898

Formation enthalpy at 0 K in eV/f.u.: -1.64
VASP energy in Ry per atom: -0.4427

=====

The following is a DFT calculation (PBE) of crystalline Ta3Cr at its relaxed geometry.

abc: 2.679 2.924 9.025
angles: 90.00 90.00 90.00
Atoms (fractional coordinates):
Ta: 0.000 0.000 0.000
Ta: 0.000 0.500 0.289
Ta: 0.500 0.500 0.746
Cr: 0.500 0.000 0.506

Formation enthalpy at 0 K in eV/f.u.: 2.41
VASP energy in Ry per atom: -0.7860

=====

The following is a DFT calculation (PBE) of crystalline KAcTeO4 at its relaxed geometry.

abc: 7.172 7.172 7.172
angles: 117.45 117.21 94.69
Atoms (fractional coordinates):
K: 0.000 0.000 0.000
K: 0.500 0.000 0.500
Ac: 0.500 0.000 0.000
Ac: 0.500 0.500 0.500
Te: 0.105 0.355 0.750
Te: 0.895 0.645 0.250
O: 0.229 0.277 0.548
O: 0.229 0.681 0.952
O: 0.266 0.733 0.533
O: 0.300 0.267 0.033
O: 0.700 0.733 0.967
O: 0.734 0.267 0.467
O: 0.771 0.319 0.048
O: 0.771 0.723 0.452

VASP energy in Ry per atom: -0.4331
Formation energy (no corrections) in eV per atom: -1.87

=====

The following is a DFT calculation (PBE) of crystalline ZrMn2Tc at its relaxed geometry.

abc: 2.850 2.850 26.730
angles: 90.00 90.00 120.00
Atoms (fractional coordinates):
Zr: 0.000 0.000 0.000
Zr: 0.333 0.667 0.667
Zr: 0.667 0.333 0.333
Mn: 0.000 0.000 0.242
Mn: 0.000 0.000 0.758
Mn: 0.333 0.667 0.425
Mn: 0.333 0.667 0.909
Mn: 0.667 0.333 0.091
Mn: 0.667 0.333 0.575
Tc: 0.000 0.000 0.500
Tc: 0.333 0.667 0.167
Tc: 0.667 0.333 0.833

Formation enthalpy at 0 K in eV/f.u.: 1.36
VASP energy in Ry per atom: -0.6596
Polymorph energy (0 for the lowest one) in meV per atom: 313

=====

The following is a DFT calculation (PBE) of crystalline BaSr2Li2 at its relaxed geometry.

abc: 10.382 10.382 3.980
angles: 90.00 90.00 90.00
Atoms (fractional coordinates):
Ba: 0.000 0.000 0.000
Ba: 0.500 0.500 0.000
Sr: 0.135 0.365 0.000
Sr: 0.365 0.865 0.000
Sr: 0.635 0.135 0.000
Sr: 0.865 0.635 0.000
Li: 0.162 0.662 0.500
Li: 0.338 0.162 0.500
Li: 0.662 0.838 0.500
Li: 0.838 0.338 0.500

Formation enthalpy at 0 K in eV/f.u.: 0.49
VASP energy in Ry per atom: -0.1268
Polymorph energy (0 for the lowest one) in meV per atom: 75

=====

The following is a DFT calculation (PBE) of crystalline ZrSbAs at its relaxed geometry.

abc: 4.633 4.633 3.724
angles: 90.00 90.00 120.00
Atoms (fractional coordinates):
Zr: 0.000 0.000 0.000
Sb: 0.333 0.667 0.500
As: 0.667 0.333 0.000

VASP energy in Ry per atom: -0.4512
Polymorph energy (0 for the lowest one) in meV per atom: 252
Formation energy (no corrections) in eV per atom: -0.37

=====

The following is a DFT calculation (PBE) of crystalline Cu17Ni12 at its relaxed geometry.

abc: 7.599 7.599 7.599
angles: 109.47 109.47 109.47
Atoms (fractional coordinates):
Cu: 0.000 0.000 0.000
Cu: 0.000 0.000 0.355
Cu: 0.000 0.316 0.595
Cu: 0.000 0.355 0.000
Cu: 0.000 0.595 0.316
Cu: 0.279 0.684 0.684
Cu: 0.316 0.000 0.595
Cu: 0.316 0.595 0.000
Cu: 0.355 0.000 0.000
Cu: 0.405 0.405 0.721
Cu: 0.405 0.721 0.405
Cu: 0.595 0.000 0.316
Cu: 0.595 0.316 0.000
Cu: 0.645 0.645 0.645
Cu: 0.684 0.279 0.684
Cu: 0.684 0.684 0.279
Cu: 0.721 0.405 0.405
Ni: 0.000 0.628 0.812
Ni: 0.000 0.812 0.628
Ni: 0.184 0.372 0.372
Ni: 0.188 0.188 0.816
Ni: 0.188 0.816 0.188
Ni: 0.372 0.184 0.372
Ni: 0.372 0.372 0.184
Ni: 0.628 0.000 0.812
Ni: 0.628 0.812 0.000
Ni: 0.812 0.000 0.628
Ni: 0.812 0.628 0.000
Ni: 0.816 0.188 0.188

Formation enthalpy at 0 K in eV/f.u.: 2.01
VASP energy in Ry per atom: -0.3472

=====

The following is a DFT calculation (PBE) of crystalline Nd3Dy8Ho3 at its relaxed geometry.

abc: 9.672 9.672 9.672
angles: 146.00 112.12 78.13
Atoms (fractional coordinates):
Nd: 0.000 0.000 0.000
Nd: 0.182 0.682 0.500
Nd: 0.818 0.318 0.500
Dy: 0.120 0.280 0.840
Dy: 0.239 0.897 0.341
Dy: 0.440 0.280 0.160
Dy: 0.444 0.103 0.341
Dy: 0.556 0.897 0.659
Dy: 0.560 0.720 0.840
Dy: 0.761 0.103 0.659
Dy: 0.880 0.720 0.160
Ho: 0.204 0.500 0.704
Ho: 0.500 0.500 0.000
Ho: 0.796 0.500 0.296

Formation enthalpy at 0 K in eV/f.u.: 1.50
VASP energy in Ry per atom: -0.3326

=====

The following is a DFT calculation (PBE) of crystalline Cd2InPb at its relaxed geometry.

abc: 6.451 11.324 3.210
angles: 90.00 111.69 90.00
Atoms (fractional coordinates):
Cd: 0.250 0.250 0.000
Cd: 0.250 0.750 0.000
Cd: 0.750 0.250 0.000
Cd: 0.750 0.750 0.000
In: 0.000 0.000 0.000
In: 0.500 0.500 0.000
Pb: 0.000 0.500 0.000
Pb: 0.500 0.000 0.000

Formation enthalpy at 0 K in eV/f.u.: 0.31
VASP energy in Ry per atom: -0.1464
Polymorph energy (0 for the lowest one) in meV per atom: 53

=====

What are the V values for these records? In order: 84.5; 79.9; 345.1; 174.6; 70.7; 135.2; 62.7; 214.5; 69.2; 337.8; 458.6; 108.9 Å³/f.u..